YBeHg2 | PBE | relaxed

Cell: 4.7754 4.7754 17.1327 Å, 90.00 90.00 90.00°
Space group I-42d (No. 122)
Unique sites:
Y  0.0000  0.0000  0.0000 (multiplicity 4)
Be  0.0000  0.0000  0.5000 (multiplicity 4)
Hg  0.1517  0.2500  0.6250 (multiplicity 8)

Results
**Calculated density**: 8.49 Mg/m³
**DOS(E_F)**: 0.502 states/eV per atom
**M_tot**: 0.0 Bohr magnetons per cell
**ΔH_f (0 K)**: 157 meV/atom

Pu2Si4GeRh3 | PBE | relaxed

Cell: 4.1709 4.1709 9.8873 Å, 90.00 90.00 90.00°
Space group P-4m2 (No. 115)
Unique sites:
Pu  0.0000  0.5000  0.2467 (multiplicity 2)
Si  0.0000  0.0000  0.0000 (multiplicity 1)
Si  0.0000  0.5000  0.6427 (multiplicity 2)
Si  0.5000  0.5000  0.0000 (multiplicity 1)
Ge  0.0000  0.0000  0.5000 (multiplicity 1)
Rh  0.0000  0.5000  0.8786 (multiplicity 2)
Rh  0.5000  0.5000  0.5000 (multiplicity 1)

Results
**Calculated density**: 9.48 Mg/m³
**DOS(E_F)**: 2.577 states/eV per atom
**VASP energy**: -8.37 eV per atom
**M_tot**: 10.2 Bohr magnetons per cell

TaOsSe2 | PBE | relaxed

Cell: 3.6293 3.4615 7.1642 Å, 90.00 97.32 90.00°
Space group Pm (No. 6)
Unique sites:
Ta  0.0000  0.0000  0.0000 (multiplicity 1)
Os  0.4093  0.5000  0.8459 (multiplicity 1)
Se  0.0451  0.0000  0.6432 (multiplicity 1)
Se  0.4695  0.5000  0.1986 (multiplicity 1)

Results
**Calculated density**: 9.84 Mg/m³
**DOS(E_F)**: 0.728 states/eV per atom
**VASP energy**: -7.56 eV per atom
**M_tot**: 0.0 Bohr magnetons per cell

Ta3ZnRu | PBE | relaxed

Cell: 4.7874 4.7874 4.7874 Å, 90.00 90.00 90.00°
Space group Pm-3m (No. 221)
Unique sites:
Ta  0.0000  0.0000  0.5000 (multiplicity 3)
Zn  0.5000  0.5000  0.5000 (multiplicity 1)
Ru  0.0000  0.0000  0.0000 (multiplicity 1)

Results
**Calculated density**: 10.74 Mg/m³
**DOS(E_F)**: 0.699 states/eV per atom
**M_tot**: 0.0 Bohr magnetons per cell
**ΔH_f (0 K)**: 1114 meV/atom

Rb2CdSbH | PBE | relaxed

Cell: 7.6069 4.7940 10.3561 Å, 90.00 109.38 90.00°
Space group P2_1/m (No. 11)
Unique sites:
Rb  0.1904  0.2500  0.4049 (multiplicity 2)
Rb  0.2206  0.2500  0.9534 (multiplicity 2)
Cd  0.4455  0.7500  0.2415 (multiplicity 2)
Sb  0.3476  0.7500  0.7102 (multiplicity 2)
H  0.1838  0.7500  0.1678 (multiplicity 2)

Results
**Calculated density**: 3.79 Mg/m³
**VASP energy**: -2.38 eV per atom
**M_tot**: 0.0 Bohr magnetons per cell

CaY4Zn | PBE | relaxed

Cell: 9.2112 9.2112 9.2112 Å, 90.00 90.00 90.00°
Space group F-43m (No. 216)
Unique sites:
Ca  0.0000  0.0000  0.0000 (multiplicity 4)
Y  0.1244  0.1244  0.6244 (multiplicity 16)
Zn  0.2500  0.2500  0.2500 (multiplicity 4)

Results
**Calculated density**: 3.92 Mg/m³
**DOS(E_F)**: 1.182 states/eV per atom
**M_tot**: 0.0 Bohr magnetons per cell
**ΔH_f (0 K)**: 363 meV/atom

AgSb2Pb8 | PBE | relaxed

Cell: 17.1797 6.9677 6.1147 Å, 90.00 110.81 90.00°
Space group C2/m (No. 12)
Unique sites:
Ag  0.0000  0.0000  0.0000 (multiplicity 2)
Sb  0.1488  0.0000  0.8623 (multiplicity 4)
Pb  0.0737  0.2629  0.3895 (multiplicity 8)
Pb  0.1458  0.5000  0.9478 (multiplicity 4)
Pb  0.2451  0.0000  0.4486 (multiplicity 4)

Results
**Calculated density**: 9.75 Mg/m³
**DOS(E_F)**: 0.473 states/eV per atom
**VASP energy**: -3.62 eV per atom
**M_tot**: 0.0 Bohr magnetons per cell

YTlCr2 | PBE | relaxed

Cell: 6.9754 6.9754 6.9754 Å, 90.00 90.00 90.00°
Space group Fm-3m (No. 225)
Unique sites:
Y  0.0000  0.0000  0.0000 (multiplicity 4)
Tl  0.0000  0.0000  0.5000 (multiplicity 4)
Cr  0.2500  0.2500  0.2500 (multiplicity 8)

Results
**Calculated density**: 7.77 Mg/m³
**DOS(E_F)**: 1.025 states/eV per atom
**M_tot**: 31.9 Bohr magnetons per cell
**ΔH_f (0 K)**: 508 meV/atom

MnSe4 | PBE | relaxed

Cell: 4.7552 4.7552 4.7552 Å, 90.00 90.00 90.00°
Space group Pm-3m (No. 221)
Unique sites:
Mn  0.0000  0.0000  0.0000 (multiplicity 1)
Se  0.0000  0.0000  0.5000 (multiplicity 3)
Se  0.5000  0.5000  0.5000 (multiplicity 1)

Results
**Calculated density**: 5.73 Mg/m³
**DOS(E_F)**: 0.890 states/eV per atom
**VASP energy**: -4.27 eV per atom
**M_tot**: 2.6 Bohr magnetons per cell

CsZn2PdF8 | PBE | relaxed

Cell: 5.8436 5.8436 25.8543 Å, 90.00 90.00 120.00°
Space group R-3m (No. 166, hexagonal axes)
Unique sites:
Cs  0.0000  0.0000  0.0000 (multiplicity 3)
Zn  0.0000  0.0000  0.2445 (multiplicity 6)
Pd  0.0000  0.0000  0.5000 (multiplicity 3)
F  0.0000  0.0000  0.3161 (multiplicity 6)
F  0.0161  0.5080  0.1177 (multiplicity 18)

Results
**Calculated density**: 3.40 Mg/m³
**DOS(E_F)**: 0.334 states/eV per atom
**VASP energy**: -3.90 eV per atom
**M_tot**: 3.0 Bohr magnetons per cell

PmPu2In | PBE | relaxed

Cell: 7.6370 7.6370 7.6370 Å, 90.00 90.00 90.00°
Space group Fm-3m (No. 225)
Unique sites:
Pm  0.0000  0.0000  0.0000 (multiplicity 4)
Pu  0.2500  0.2500  0.2500 (multiplicity 8)
In  0.0000  0.0000  0.5000 (multiplicity 4)

Results
**Calculated density**: 11.15 Mg/m³
**DOS(E_F)**: 3.040 states/eV per atom
**M_tot**: 54.4 Bohr magnetons per cell
**ΔH_f (0 K)**: 101 meV/atom

Ce3NdDy4P8 | PBE | relaxed

Cell: 8.1175 8.1175 19.8317 Å, 90.00 90.00 120.00°
Space group R-3m (No. 166, hexagonal axes)
Unique sites:
Ce  0.0000  0.5000  0.0000 (multiplicity 9)
Nd  0.0000  0.0000  0.0000 (multiplicity 3)
Dy  0.0000  0.0000  0.5000 (multiplicity 3)
Dy  0.0000  0.5000  0.5000 (multiplicity 9)
P  0.0000  0.0000  0.2488 (multiplicity 6)
P  0.0036  0.5018  0.2485 (multiplicity 18)

Results
**Calculated density**: 6.44 Mg/m³
**DOS(E_F)**: 0.934 states/eV per atom
**M_tot**: 4.4 Bohr magnetons per cell
**ΔH_f (0 K)**: -1564 meV/atom

Mo3WS | PBE | relaxed

Cell: 4.7772 4.7772 4.7772 Å, 90.00 90.00 90.00°
Space group Pm-3m (No. 221)
Unique sites:
Mo  0.0000  0.0000  0.5000 (multiplicity 3)
W  0.0000  0.0000  0.0000 (multiplicity 1)
S  0.5000  0.5000  0.5000 (multiplicity 1)

Results
**Calculated density**: 7.67 Mg/m³
**DOS(E_F)**: 1.491 states/eV per atom
**VASP energy**: -7.86 eV per atom
**M_tot**: 0.0 Bohr magnetons per cell

RbTl5Te3 | PBE | relaxed

Cell: 5.3851 18.3768 15.3112 Å, 90.00 90.00 90.00°
Space group Cmcm (No. 63)
Unique sites:
Rb  0.0000  0.1315  0.2500 (multiplicity 4)
Tl  0.0000  0.0000  0.0000 (multiplicity 4)
Tl  0.0000  0.1886  0.5595 (multiplicity 8)
Tl  0.0000  0.4549  0.1309 (multiplicity 8)
Te  0.0000  0.0788  0.7500 (multiplicity 4)
Te  0.0000  0.3684  0.5657 (multiplicity 8)

Results
**Calculated density**: 6.53 Mg/m³
**DOS(E_F)**: 0.026 states/eV per atom
**VASP energy**: -2.84 eV per atom
**M_tot**: 0.0 Bohr magnetons per cell

Cu3Ni | PBE | relaxed

Cell: 2.5300 2.5300 8.3842 Å, 90.00 90.00 120.00°
Space group P-6m2 (No. 187)
Unique sites:
Cu  0.0000  0.0000  0.0000 (multiplicity 1)
Cu  0.3333  0.6667  0.2536 (multiplicity 2)
Ni  0.0000  0.0000  0.5000 (multiplicity 1)

Results
**Calculated density**: 8.91 Mg/m³
**DOS(E_F)**: 0.544 states/eV per atom
**M_tot**: 0.3 Bohr magnetons per cell
**ΔH_f (0 K)**: 20 meV/atom

KZr3Mn | PBE | relaxed

Cell: 5.0436 5.0436 5.0436 Å, 90.00 90.00 90.00°
Space group Pm-3m (No. 221)
Unique sites:
K  0.0000  0.0000  0.0000 (multiplicity 1)
Zr  0.0000  0.5000  0.5000 (multiplicity 3)
Mn  0.5000  0.5000  0.5000 (multiplicity 1)

Results
**Calculated density**: 4.76 Mg/m³
**DOS(E_F)**: 1.891 states/eV per atom
**M_tot**: 0.5 Bohr magnetons per cell
**ΔH_f (0 K)**: 648 meV/atom

BeAlOs2 | PBE | relaxed

Cell: 2.9258 4.4829 7.8767 Å, 90.00 90.00 90.00°
Space group Immm (No. 71)
Unique sites:
Be  0.0000  0.0000  0.0000 (multiplicity 2)
Al  0.0000  0.0000  0.5000 (multiplicity 2)
Os  0.0000  0.5000  0.2801 (multiplicity 4)

Results
**Calculated density**: 13.39 Mg/m³
**DOS(E_F)**: 0.610 states/eV per atom
**M_tot**: 0.0 Bohr magnetons per cell
**ΔH_f (0 K)**: -85 meV/atom

Pu2ScTc | PBE | relaxed

Cell: 3.2453 3.2453 8.4659 Å, 90.00 90.00 90.00°
Space group P4/mmm (No. 123)
Unique sites:
Pu  0.0000  0.0000  0.2113 (multiplicity 2)
Sc  0.5000  0.5000  0.5000 (multiplicity 1)
Tc  0.5000  0.5000  0.0000 (multiplicity 1)

Results
**Calculated density**: 11.75 Mg/m³
**DOS(E_F)**: 2.417 states/eV per atom
**M_tot**: 10.4 Bohr magnetons per cell
**ΔH_f (0 K)**: 83 meV/atom

OsPdSe4 | PBE | relaxed

Cell: 12.2537 3.7042 6.4884 Å, 90.00 121.48 90.00°
Space group C2/m (No. 12)
Unique sites:
Os  0.0000  0.0000  0.0000 (multiplicity 2)
Pd  0.0000  0.5000  0.5000 (multiplicity 2)
Se  0.1259  0.5000  0.9649 (multiplicity 4)
Se  0.1284  0.0000  0.4520 (multiplicity 4)

Results
**Calculated density**: 8.10 Mg/m³
**DOS(E_F)**: 0.793 states/eV per atom
**VASP energy**: -5.18 eV per atom
**M_tot**: 0.0 Bohr magnetons per cell

LaScTl3 | PBE | relaxed

Cell: 4.7276 4.7276 13.4766 Å, 90.00 90.00 90.00°
Space group I4mm (No. 107)
Unique sites:
La  0.0000  0.0000  0.0000 (multiplicity 2)
Sc  0.0000  0.0000  0.6558 (multiplicity 2)
Tl  0.0000  0.0000  0.4486 (multiplicity 2)
Tl  0.0000  0.5000  0.2859 (multiplicity 4)

Results
**Calculated density**: 8.79 Mg/m³
**DOS(E_F)**: 0.749 states/eV per atom
**M_tot**: 0.0 Bohr magnetons per cell
**ΔH_f (0 K)**: -111 meV/atom